1.
# Tb2YAl (GGA-PBE, optimized geometry)
# ρ: 6.37 Mg/m³
# ΔE to the lowest computed polymorph: 19 meV per atom
data_Tb2YAl
_space_group_name_H-M_alt 'P 4/m m m'
_space_group_IT_number 123
_space_group_name_Hall '-P 4 2'
_cell_length_a 3.5296
_cell_length_b 3.5296
_cell_length_c 9.0768
_cell_angle_alpha 90.00
_cell_angle_beta 90.00
_cell_angle_gamma 90.00
loop_
_atom_site_label
_atom_site_type_symbol
_atom_site_fract_x
_atom_site_fract_y
_atom_site_fract_z
_atom_site_occupancy
Tb1 Tb 0.0000 0.0000 0.2127 1
Y1 Y 0.5000 0.5000 0.5000 1
Al1 Al 0.5000 0.5000 0.0000 1

=====

2.
# Tb4YAl5 (GGA-PBE, optimized geometry)
# ρ: 6.05 Mg/m³
data_Tb4YAl5
_space_group_name_H-M_alt 'P 4/m m m'
_space_group_IT_number 123
_space_group_name_Hall '-P 4 2'
_cell_length_a 3.6040
_cell_length_b 3.6040
_cell_length_c 18.1634
_cell_angle_alpha 90.00
_cell_angle_beta 90.00
_cell_angle_gamma 90.00
loop_
_atom_site_label
_atom_site_type_symbol
_atom_site_fract_x
_atom_site_fract_y
_atom_site_fract_z
_atom_site_occupancy
Tb1 Tb 0.0000 0.0000 0.1001 1
Tb2 Tb 0.0000 0.0000 0.3002 1
Y1 Y 0.0000 0.0000 0.5000 1
Al1 Al 0.5000 0.5000 0.0000 1
Al2 Al 0.5000 0.5000 0.2002 1
Al3 Al 0.5000 0.5000 0.4006 1

=====

3.
# TbYAl (GGA-PBE, optimized geometry)
# ρ: 5.66 Mg/m³
# ΔE to the lowest computed polymorph: 21 meV per atom
data_TbYAl
_space_group_name_H-M_alt 'I 4 m m'
_space_group_IT_number 107
_space_group_name_Hall 'I 4 -2'
_cell_length_a 3.4559
_cell_length_b 3.4559
_cell_length_c 13.5020
_cell_angle_alpha 90.00
_cell_angle_beta 90.00
_cell_angle_gamma 90.00
loop_
_atom_site_label
_atom_site_type_symbol
_atom_site_fract_x
_atom_site_fract_y
_atom_site_fract_z
_atom_site_occupancy
Tb1 Tb 0.0000 0.0000 0.0000 1
Y1 Y 0.0000 0.0000 0.2958 1
Al1 Al 0.0000 0.0000 0.6483 1

=====

4.
# TbYAl (GGA-PBE, optimized geometry)
# ρ: 5.71 Mg/m³
# ΔE to the lowest computed polymorph: 122 meV per atom
data_TbYAl
_space_group_name_H-M_alt 'P 3 m 1'
_space_group_IT_number 156
_cell_length_a 5.0745
_cell_length_b 5.0745
_cell_length_c 3.5845
_cell_angle_alpha 90.00
_cell_angle_beta 90.00
_cell_angle_gamma 120.00
loop_
_space_group_symop_operation_xyz
'x,y,z'
'-y,x-y,z'
'-x+y,-x,z'
'-y,-x,z'
'-x+y,y,z'
'x,x-y,z'
loop_
_atom_site_label
_atom_site_type_symbol
_atom_site_fract_x
_atom_site_fract_y
_atom_site_fract_z
_atom_site_occupancy
Tb1 Tb 0.0000 0.0000 0.0000 1
Y1 Y 0.3333 0.6667 0.4400 1
Al1 Al 0.6667 0.3333 0.7175 1

=====

5.
# Tb5Y4Al (GGA-PBE, optimized geometry)
# ρ: 6.39 Mg/m³
data_Tb5Y4Al
_space_group_name_H-M_alt 'P 4/m m m'
_space_group_IT_number 123
_space_group_name_Hall '-P 4 2'
_cell_length_a 3.5631
_cell_length_b 3.5631
_cell_length_c 24.0933
_cell_angle_alpha 90.00
_cell_angle_beta 90.00
_cell_angle_gamma 90.00
loop_
_atom_site_label
_atom_site_type_symbol
_atom_site_fract_x
_atom_site_fract_y
_atom_site_fract_z
_atom_site_occupancy
Tb1 Tb 0.0000 0.0000 0.0000 1
Tb2 Tb 0.0000 0.0000 0.2104 1
Tb3 Tb 0.0000 0.0000 0.4221 1
Y1 Y 0.5000 0.5000 0.1048 1
Y2 Y 0.5000 0.5000 0.3145 1
Al1 Al 0.5000 0.5000 0.5000 1

=====

6.
# Tb2Y3Al2 (GGA-PBE, optimized geometry)
# ρ: 5.53 Mg/m³
data_Tb2Y3Al2
_space_group_name_H-M_alt 'I 4/m m m'
_space_group_IT_number 139
_space_group_name_Hall '-I 4 2'
_cell_length_a 3.5512
_cell_length_b 3.5512
_cell_length_c 30.3899
_cell_angle_alpha 90.00
_cell_angle_beta 90.00
_cell_angle_gamma 90.00
loop_
_atom_site_label
_atom_site_type_symbol
_atom_site_fract_x
_atom_site_fract_y
_atom_site_fract_z
_atom_site_occupancy
Tb1 Tb 0.0000 0.0000 0.2093 1
Y1 Y 0.0000 0.0000 0.3765 1
Y2 Y 0.0000 0.0000 0.5000 1
Al1 Al 0.0000 0.0000 0.0624 1

=====

7.
# TbYAl2 (GGA-PBE, optimized geometry)
# ρ: 5.33 Mg/m³
data_TbYAl2
_space_group_name_H-M_alt 'P 4/m m m'
_space_group_IT_number 123
_space_group_name_Hall '-P 4 2'
_cell_length_a 3.6084
_cell_length_b 3.6084
_cell_length_c 7.2221
_cell_angle_alpha 90.00
_cell_angle_beta 90.00
_cell_angle_gamma 90.00
loop_
_atom_site_label
_atom_site_type_symbol
_atom_site_fract_x
_atom_site_fract_y
_atom_site_fract_z
_atom_site_occupancy
Tb1 Tb 0.0000 0.0000 0.0000 1
Y1 Y 0.0000 0.0000 0.5000 1
Al1 Al 0.5000 0.5000 0.2513 1

=====

8.
# Tb12Y5Al2 (GGA-PBE, optimized geometry)
# ρ: 6.84 Mg/m³
data_Tb12Y5Al2
_space_group_name_H-M_alt 'C 1 2/m 1'
_space_group_IT_number 12
_cell_length_a 15.1905
_cell_length_b 9.2128
_cell_length_c 8.3576
_cell_angle_alpha 90.00
_cell_angle_beta 93.29
_cell_angle_gamma 90.00
loop_
_space_group_symop_operation_xyz
'x,y,z'
'-x,-y,-z'
'-x,y,-z'
'x,-y,z'
'x+1/2,y+1/2,z'
'-x+1/2,-y+1/2,-z'
'-x+1/2,y+1/2,-z'
'x+1/2,-y+1/2,z'
loop_
_atom_site_label
_atom_site_type_symbol
_atom_site_fract_x
_atom_site_fract_y
_atom_site_fract_z
_atom_site_occupancy
Tb1 Tb 0.0525 0.0000 0.3233 1
Tb2 Tb 0.0787 0.5000 0.8819 1
Tb3 Tb 0.1258 0.1962 0.6740 1
Tb4 Tb 0.1425 0.3134 0.2296 1
Y1 Y 0.0000 0.5000 0.5000 1
Y2 Y 0.1896 0.0000 0.0152 1
Y3 Y 0.2330 0.5000 0.5732 1
Al1 Al 0.0000 0.1672 0.0000 1

=====

9.
# Tb4Y9Al11 (GGA-PBE, optimized geometry)
# ρ: 4.94 Mg/m³
data_Tb4Y9Al11
_space_group_name_H-M_alt 'C m m m'
_space_group_IT_number 65
_space_group_name_Hall '-C 2 2'
_cell_length_a 15.4359
_cell_length_b 22.3553
_cell_length_c 3.3750
_cell_angle_alpha 90.00
_cell_angle_beta 90.00
_cell_angle_gamma 90.00
loop_
_atom_site_label
_atom_site_type_symbol
_atom_site_fract_x
_atom_site_fract_y
_atom_site_fract_z
_atom_site_occupancy
Tb1 Tb 0.1763 0.0827 0.0000 1
Y1 Y 0.0000 0.0000 0.0000 1
Y2 Y 0.1077 0.4040 0.0000 1
Y3 Y 0.1122 0.2251 0.0000 1
Al1 Al 0.0000 0.1211 0.5000 1
Al2 Al 0.0000 0.3124 0.5000 1
Al3 Al 0.0000 0.5000 0.5000 1
Al4 Al 0.2000 0.5000 0.5000 1
Al5 Al 0.2266 0.3139 0.5000 1

=====

10.
# Tb4YAl (GGA-PBE, optimized geometry)
# ρ: 7.06 Mg/m³
# ΔE to the lowest computed polymorph: 0 meV per atom
data_Tb4YAl
_space_group_name_H-M_alt 'P 4/m m m'
_space_group_IT_number 123
_space_group_name_Hall '-P 4 2'
_cell_length_a 3.5405
_cell_length_b 3.5405
_cell_length_c 14.0972
_cell_angle_alpha 90.00
_cell_angle_beta 90.00
_cell_angle_gamma 90.00
loop_
_atom_site_label
_atom_site_type_symbol
_atom_site_fract_x
_atom_site_fract_y
_atom_site_fract_z
_atom_site_occupancy
Tb1 Tb 0.0000 0.0000 0.1360 1
Tb2 Tb 0.5000 0.5000 0.3191 1
Y1 Y 0.0000 0.0000 0.5000 1
Al1 Al 0.5000 0.5000 0.0000 1

=====

11.
# Tb2YAl3 (GGA-PBE, optimized geometry)
# ρ: 5.73 Mg/m³
data_Tb2YAl3
_space_group_name_H-M_alt 'P 4/m m m'
_space_group_IT_number 123
_space_group_name_Hall '-P 4 2'
_cell_length_a 3.5982
_cell_length_b 3.5982
_cell_length_c 10.9175
_cell_angle_alpha 90.00
_cell_angle_beta 90.00
_cell_angle_gamma 90.00
loop_
_atom_site_label
_atom_site_type_symbol
_atom_site_fract_x
_atom_site_fract_y
_atom_site_fract_z
_atom_site_occupancy
Tb1 Tb 0.0000 0.0000 0.1670 1
Y1 Y 0.0000 0.0000 0.5000 1
Al1 Al 0.5000 0.5000 0.0000 1
Al2 Al 0.5000 0.5000 0.3343 1

=====

12.
# Tb12YAl3 (GGA-PBE, optimized geometry)
# ρ: 7.58 Mg/m³
data_Tb12YAl3
_space_group_name_H-M_alt 'P 4/m m m'
_space_group_IT_number 123
_space_group_name_Hall '-P 4 2'
_cell_length_a 4.8142
_cell_length_b 4.8142
_cell_length_c 19.6232
_cell_angle_alpha 90.00
_cell_angle_beta 90.00
_cell_angle_gamma 90.00
loop_
_atom_site_label
_atom_site_type_symbol
_atom_site_fract_x
_atom_site_fract_y
_atom_site_fract_z
_atom_site_occupancy
Tb1 Tb 0.0000 0.0000 0.0000 1
Tb2 Tb 0.0000 0.0000 0.2428 1
Tb3 Tb 0.0000 0.0000 0.5000 1
Tb4 Tb 0.0000 0.5000 0.1217 1
Tb5 Tb 0.0000 0.5000 0.3652 1
Y1 Y 0.5000 0.5000 0.5000 1
Al1 Al 0.5000 0.5000 0.0000 1
Al2 Al 0.5000 0.5000 0.2416 1

=====

13.
# TbY3Al2 (GGA-PBE, optimized geometry)
# ρ: 4.62 Mg/m³
# ΔE to the lowest computed polymorph: 385 meV per atom
data_TbY3Al2
_space_group_name_H-M_alt 'R -3 c'
_space_group_IT_number 167
_space_group_name_Hall '-R 3 2"c'
_cell_length_a 7.2582
_cell_length_b 7.2582
_cell_length_c 22.6657
_cell_angle_alpha 90.00
_cell_angle_beta 90.00
_cell_angle_gamma 120.00
loop_
_atom_site_label
_atom_site_type_symbol
_atom_site_fract_x
_atom_site_fract_y
_atom_site_fract_z
_atom_site_occupancy
Tb1 Tb 0.0000 0.0000 0.0000 1
Y1 Y 0.0000 0.2716 0.2500 1
Al1 Al 0.0000 0.0000 0.1465 1

=====

14.
# Tb2YAl (GGA-PBE, optimized geometry)
# ρ: 6.58 Mg/m³
# ΔE to the lowest computed polymorph: 161 meV per atom
data_Tb2YAl
_space_group_name_H-M_alt 'F m -3 m'
_space_group_IT_number 225
_space_group_name_Hall '-F 4 2 3'
_cell_length_a 7.5946
_cell_length_b 7.5946
_cell_length_c 7.5946
_cell_angle_alpha 90.00
_cell_angle_beta 90.00
_cell_angle_gamma 90.00
loop_
_atom_site_label
_atom_site_type_symbol
_atom_site_fract_x
_atom_site_fract_y
_atom_site_fract_z
_atom_site_occupancy
Tb1 Tb 0.2500 0.2500 0.2500 1
Y1 Y 0.0000 0.0000 0.0000 1
Al1 Al 0.0000 0.0000 0.5000 1

=====

15.
# TbY2Al6 (GGA-PBE, optimized geometry)
# ρ: 4.37 Mg/m³
data_TbY2Al6
_space_group_name_H-M_alt 'P 6/m m m'
_space_group_IT_number 191
_space_group_name_Hall '-P 6 2'
_cell_length_a 7.9064
_cell_length_b 7.9064
_cell_length_c 3.5008
_cell_angle_alpha 90.00
_cell_angle_beta 90.00
_cell_angle_gamma 120.00
loop_
_atom_site_label
_atom_site_type_symbol
_atom_site_fract_x
_atom_site_fract_y
_atom_site_fract_z
_atom_site_occupancy
Tb1 Tb 0.0000 0.0000 0.0000 1
Y1 Y 0.3333 0.6667 0.0000 1
Al1 Al 0.0000 0.3334 0.5000 1

=====

16.
# TbYAl (GGA-PBE, optimized geometry)
# ρ: 5.48 Mg/m³
# ΔE to the lowest computed polymorph: 248 meV per atom
data_TbYAl
_space_group_name_H-M_alt 'R 3 m'
_space_group_IT_number 160
_space_group_name_Hall 'R 3 -2"'
_cell_length_a 3.4886
_cell_length_b 3.4886
_cell_length_c 23.6995
_cell_angle_alpha 90.00
_cell_angle_beta 90.00
_cell_angle_gamma 120.00
loop_
_atom_site_label
_atom_site_type_symbol
_atom_site_fract_x
_atom_site_fract_y
_atom_site_fract_z
_atom_site_occupancy
Tb1 Tb 0.0000 0.0000 0.0000 1
Y1 Y 0.0000 0.0000 0.7931 1
Al1 Al 0.0000 0.0000 0.2288 1

=====

17.
# Tb2Y2Al15 (GGA-PBE, optimized geometry)
# ρ: 4.01 Mg/m³
data_Tb2Y2Al15
_space_group_name_H-M_alt 'R -3 m'
_space_group_IT_number 166
_space_group_name_Hall '-R 3 2"'
_cell_length_a 9.6184
_cell_length_b 9.6184
_cell_length_c 13.9600
_cell_angle_alpha 90.00
_cell_angle_beta 90.00
_cell_angle_gamma 120.00
loop_
_atom_site_label
_atom_site_type_symbol
_atom_site_fract_x
_atom_site_fract_y
_atom_site_fract_z
_atom_site_occupancy
Tb1 Tb 0.0000 0.0000 0.1367 1
Y1 Y 0.0000 0.0000 0.3915 1
Al1 Al 0.0000 0.2931 0.5000 1
Al2 Al 0.0000 0.5000 0.0000 1
Al3 Al 0.0078 0.5039 0.6471 1

=====

18.
# Tb2YAl (GGA-PBE, optimized geometry)
# ρ: 6.64 Mg/m³
# ΔE to the lowest computed polymorph: 0 meV per atom
data_Tb2YAl
_space_group_name_H-M_alt 'A m m 2'
_space_group_IT_number 38
_cell_length_a 5.3031
_cell_length_b 6.8858
_cell_length_c 11.8896
_cell_angle_alpha 90.00
_cell_angle_beta 90.00
_cell_angle_gamma 90.00
loop_
_space_group_symop_operation_xyz
'x,y,z'
'-x,-y,z'
'-x,y,z'
'x,-y,z'
'x,y+1/2,z+1/2'
'-x,-y+1/2,z+1/2'
'-x,y+1/2,z+1/2'
'x,-y+1/2,z+1/2'
loop_
_atom_site_label
_atom_site_type_symbol
_atom_site_fract_x
_atom_site_fract_y
_atom_site_fract_z
_atom_site_occupancy
Tb1 Tb 0.0000 0.0000 0.0000 1
Tb2 Tb 0.0000 0.2369 0.7646 1
Tb3 Tb 0.5000 0.0000 0.3510 1
Y1 Y 0.5000 0.2376 0.5877 1
Al1 Al 0.0000 0.0000 0.5095 1
Al2 Al 0.5000 0.0000 0.8425 1

=====

19.
# Tb4Y5Al (GGA-PBE, optimized geometry)
# ρ: 5.74 Mg/m³
data_Tb4Y5Al
_space_group_name_H-M_alt 'I 4 m m'
_space_group_IT_number 107
_space_group_name_Hall 'I 4 -2'
_cell_length_a 10.6137
_cell_length_b 10.6137
_cell_length_c 5.6910
_cell_angle_alpha 90.00
_cell_angle_beta 90.00
_cell_angle_gamma 90.00
loop_
_atom_site_label
_atom_site_type_symbol
_atom_site_fract_x
_atom_site_fract_y
_atom_site_fract_z
_atom_site_occupancy
Tb1 Tb 0.0000 0.3170 0.0000 1
Y1 Y 0.0000 0.0000 0.8074 1
Y2 Y 0.1826 0.1826 0.4885 1
Al1 Al 0.0000 0.0000 0.2894 1

=====

20.
# Tb6YAl2 (GGA-PBE, optimized geometry)
# ρ: 7.04 Mg/m³
data_Tb6YAl2
_space_group_name_H-M_alt 'C 1 2/m 1'
_space_group_IT_number 12
_cell_length_a 12.6024
_cell_length_b 3.6847
_cell_length_c 11.7850
_cell_angle_alpha 90.00
_cell_angle_beta 109.18
_cell_angle_gamma 90.00
loop_
_space_group_symop_operation_xyz
'x,y,z'
'-x,-y,-z'
'-x,y,-z'
'x,-y,z'
'x+1/2,y+1/2,z'
'-x+1/2,-y+1/2,-z'
'-x+1/2,y+1/2,-z'
'x+1/2,-y+1/2,z'
loop_
_atom_site_label
_atom_site_type_symbol
_atom_site_fract_x
_atom_site_fract_y
_atom_site_fract_z
_atom_site_occupancy
Tb1 Tb 0.0217 0.0000 0.3288 1
Tb2 Tb 0.1882 0.5000 0.8756 1
Tb3 Tb 0.1889 0.5000 0.5876 1
Y1 Y 0.0000 0.0000 0.0000 1
Al1 Al 0.1480 0.5000 0.2044 1

=====

21.
# TbYAl (GGA-PBE, optimized geometry)
# ρ: 5.71 Mg/m³
# ΔE to the lowest computed polymorph: 0 meV per atom
data_TbYAl
_space_group_name_H-M_alt 'P 63/m m c'
_space_group_IT_number 194
_space_group_name_Hall '-P 6c 2c'
_cell_length_a 5.2465
_cell_length_b 5.2465
_cell_length_c 6.6998
_cell_angle_alpha 90.00
_cell_angle_beta 90.00
_cell_angle_gamma 120.00
loop_
_atom_site_label
_atom_site_type_symbol
_atom_site_fract_x
_atom_site_fract_y
_atom_site_fract_z
_atom_site_occupancy
Tb1 Tb 0.3333 0.6667 0.2500 1
Y1 Y 0.0000 0.0000 0.0000 1
Al1 Al 0.3333 0.6667 0.7500 1

=====

22.
# Tb3YAl (GGA-PBE, optimized geometry)
# ρ: 6.78 Mg/m³
data_Tb3YAl
_space_group_name_H-M_alt 'C 1 2/m 1'
_space_group_IT_number 12
_cell_length_a 13.0187
_cell_length_b 3.6003
_cell_length_c 12.4553
_cell_angle_alpha 90.00
_cell_angle_beta 95.70
_cell_angle_gamma 90.00
loop_
_space_group_symop_operation_xyz
'x,y,z'
'-x,-y,-z'
'-x,y,-z'
'x,-y,z'
'x+1/2,y+1/2,z'
'-x+1/2,-y+1/2,-z'
'-x+1/2,y+1/2,-z'
'x+1/2,-y+1/2,z'
loop_
_atom_site_label
_atom_site_type_symbol
_atom_site_fract_x
_atom_site_fract_y
_atom_site_fract_z
_atom_site_occupancy
Tb1 Tb 0.0336 0.0000 0.1951 1
Tb2 Tb 0.1356 0.5000 0.9820 1
Tb3 Tb 0.1417 0.0000 0.4497 1
Y1 Y 0.2222 0.0000 0.7471 1
Al1 Al 0.0504 0.5000 0.6207 1

=====

23.
# TbY3Al2 (GGA-PBE, optimized geometry)
# ρ: 4.98 Mg/m³
# ΔE to the lowest computed polymorph: 0 meV per atom
data_TbY3Al2
_space_group_name_H-M_alt 'P m c 21'
_space_group_IT_number 26
_cell_length_a 5.1182
_cell_length_b 9.5077
_cell_length_c 6.5754
_cell_angle_alpha 90.00
_cell_angle_beta 90.00
_cell_angle_gamma 90.00
loop_
_space_group_symop_operation_xyz
'x,y,z'
'-x,-y,z+1/2'
'-x,y,z'
'x,-y,z+1/2'
loop_
_atom_site_label
_atom_site_type_symbol
_atom_site_fract_x
_atom_site_fract_y
_atom_site_fract_z
_atom_site_occupancy
Tb1 Tb 0.0000 0.0419 0.0000 1
Y1 Y 0.0000 0.3231 0.6568 1
Y2 Y 0.5000 0.1772 0.2860 1
Y3 Y 0.5000 0.4573 0.9437 1
Al1 Al 0.0000 0.3540 0.1790 1
Al2 Al 0.5000 0.1467 0.7641 1

=====

| no. | total moment (Bohr magnetons per cell) | calculated total energy (eV/cell) | energy relative to the elements (meV per atom) |
| --- | --- | --- | --- |
| 1 | 0.00 | -20.19 | -180 |
| 2 | 0.00 | -47.69 | -399 |
| 3 | 0.00 | -31.23 | -259 |
| 4 | 0.00 | -15.31 | -159 |
| 5 | 0.00 | -53.34 | -59 |
| 6 | 0.00 | -75.56 | -234 |
| 7 | 0.00 | -20.21 | -408 |
| 8 | 0.00 | -190.09 | 17 |
| 9 | 0.00 | -251.99 | -339 |
| 10 | 0.00 | -29.42 | -116 |
| 11 | 0.00 | -29.38 | -405 |
| 12 | 0.00 | -75.24 | -124 |
| 13 | 0.20 | -186.31 | 76 |
| 14 | 0.06 | -78.47 | -38 |
| 15 | 0.00 | -44.59 | -508 |
| 16 | 0.00 | -44.80 | -33 |
| 17 | 2.30 | -248.50 | -237 |
| 18 | 0.00 | -81.05 | -199 |
| 19 | 0.00 | -106.94 | 111 |
| 20 | 0.00 | -86.49 | -168 |
| 21 | 0.00 | -31.36 | -281 |
| 22 | 1.83 | -99.32 | -146 |
| 23 | 0.00 | -66.73 | -309 |